This record from the Alexandria database describes crystalline PuRu5 at its relaxed geometry. The functional is PBE-GGA.

Values from the calculation:
Fermi-level density of states = 10.6 states/eV per cell
energy = -10.04 eV/atom
formation energy from the elements = 0.075 eV per atom
total magnetic moment = 3.56 μB per cell

a = 3.8983 Å, b = 3.9077 Å, c = 6.4711 Å
α = 107.57°, β = 90.00°, γ = 90.00°
Site moments in Bohr magnetons follow the coordinates.
Atoms (fractional coordinates):
Ru (0.5000, 0.8210, 0.6420)  -0.11
Ru (0.0000, 0.6819, 0.3639)  0.00
Ru (0.5000, 0.5000, 0.0000)  -0.56
Ru (0.0000, 0.3181, 0.6361)  0.00
Ru (0.5000, 0.1790, 0.3580)  -0.11
Pu (0.0000, 0.0000, 0.0000)  4.28